## Ba2DyMg3Sn4 (PBE)

Data for an optimized crystal structure of Ba2DyMg3Sn4.

a = 5.0546 Å, b = 5.0546 Å, c = 12.2150 Å
α = 90.00°, β = 90.00°, γ = 90.00°
With the nearest neighbours (Å) after each atom.
Fractional coordinates of all 10 atoms:
Ba 0.5000 0.0000 0.2303  8 Sn 3.78-3.91, 6 Mg 3.80-4.15, 2 Dy 4.15
Ba 0.0000 0.5000 0.7697  8 Sn 3.78-3.91, 6 Mg 3.80-4.15, 2 Dy 4.15
Dy 0.5000 0.5000 0.5000  4 Sn 3.06
Mg 0.0000 0.0000 0.5000  4 Sn 3.06
Mg 0.5000 0.0000 0.8755  5 Sn 2.87-2.95
Mg 0.0000 0.5000 0.1245  5 Sn 2.87-2.95
Sn 0.5000 0.5000 0.0000  4 Mg 2.95
Sn 0.0000 0.0000 0.0000  4 Mg 2.95
Sn 0.5000 0.0000 0.6406  3 Mg 2.87-3.06, 2 Dy 3.06
Sn 0.0000 0.5000 0.3594  3 Mg 2.87-3.06, 2 Dy 3.06

Output
Raw total energy (eV for the cell shown): -34.434
Formation energy from the elements (eV/atom): -0.5191
Crystal system: tetragonal